*P*
Material: VPdN2
Method: DFT, GGA-PBE
State: optimized geometry

Values from the calculation:
N(E_F), states/eV per cell: 3.1
SG: No. 225
Crystal system: cubic

Cell lengths 3.784, 3.784, 3.784 Å; angles 60.00, 60.00, 60.00 degrees
Sites, in units of the cell vectors:
V: 0.000 0.000 0.000
Pd: 0.500 0.500 0.500
N: 0.250 0.250 0.250
N: 0.750 0.750 0.750



*Q*
Material: VPdN2
Method: DFT, GGA-PBE
State: optimized geometry

Values from the calculation:
N(E_F), states/eV per cell: 2.2
SG: No. 166
Crystal system: trigonal

Cell lengths 6.386, 6.386, 6.386 Å; angles 26.03, 26.03, 26.03 degrees
Sites, in units of the cell vectors:
V: 0.000 0.000 0.000
Pd: 0.500 0.500 0.500
N: 0.392 0.392 0.392
N: 0.608 0.608 0.608



*R*
Material: VPdN2
Method: DFT, GGA-PBE
State: optimized geometry

Values from the calculation:
N(E_F), states/eV per cell: 7.8
SG: No. 122
Crystal system: tetragonal

Cell lengths 5.548, 5.548, 5.548 Å; angles 130.16, 130.16, 73.15 degrees
Sites, in units of the cell vectors:
V: 0.000 0.000 0.000
V: 0.750 0.250 0.500
Pd: 0.250 0.750 0.500
Pd: 0.500 0.500 0.000
N: 0.067 0.625 0.942
N: 0.375 0.317 0.442
N: 0.683 0.125 0.058
N: 0.875 0.933 0.558



Most stable = *Q*



*P*
Material: Zr2VPdN
Method: DFT, GGA-PBE
State: optimized geometry

Values from the calculation:
N(E_F), states/eV per cell: 3.6
SG: No. 123
Crystal system: tetragonal

Cell lengths 4.530, 4.530, 3.853 Å; angles 90.00, 90.00, 90.00 degrees
Sites, in units of the cell vectors:
Zr: 0.000 0.500 0.000
Zr: 0.500 0.000 0.000
V: 0.000 0.000 0.500
Pd: 0.500 0.500 0.500
N: 0.000 0.000 0.000



*Q*
Material: Zr2VPdN
Method: DFT, GGA-PBE
State: optimized geometry

Values from the calculation:
N(E_F), states/eV per cell: 5.2
SG: No. 123
Crystal system: tetragonal

Cell lengths 5.296, 5.296, 3.676 Å; angles 90.00, 90.00, 90.00 degrees
Sites, in units of the cell vectors:
Zr: 0.000 0.500 0.000
Zr: 0.500 0.000 0.000
V: 0.000 0.000 0.500
Pd: 0.500 0.500 0.000
N: 0.500 0.500 0.500



Most stable = *P*



*P*
Material: Pd3WN
Method: DFT, GGA-PBE
State: optimized geometry

Values from the calculation:
N(E_F), states/eV per cell: 4.0
SG: No. 221
Crystal system: cubic

Cell lengths 4.844, 4.844, 4.844 Å; angles 90.00, 90.00, 90.00 degrees
Sites, in units of the cell vectors:
Pd: 0.000 0.000 0.500
Pd: 0.000 0.500 0.000
Pd: 0.500 0.000 0.000
W: 0.000 0.000 0.000
N: 0.500 0.500 0.500



*Q*
Material: Pd3WN
Method: DFT, GGA-PBE
State: optimized geometry

Values from the calculation:
N(E_F), states/eV per cell: 2.6
SG: No. 221
Crystal system: cubic

Cell lengths 4.169, 4.169, 4.169 Å; angles 90.00, 90.00, 90.00 degrees
Sites, in units of the cell vectors:
Pd: 0.000 0.000 0.500
Pd: 0.000 0.500 0.000
Pd: 0.500 0.000 0.000
W: 0.500 0.500 0.500
N: 0.000 0.000 0.000



Most stable = *Q*



*P*
Material: PdWN2
Method: DFT, GGA-PBE
State: optimized geometry

Values from the calculation:
N(E_F), states/eV per cell: 2.5
SG: No. 166
Crystal system: trigonal

Cell lengths 6.610, 6.610, 6.610 Å; angles 26.04, 26.04, 26.04 degrees
Sites, in units of the cell vectors:
Pd: 0.000 0.000 0.000
W: 0.500 0.500 0.500
N: 0.106 0.106 0.106
N: 0.894 0.894 0.894



*Q*
Material: PdWN2
Method: DFT, GGA-PBE
State: optimized geometry

Values from the calculation:
N(E_F), states/eV per cell: 1.0
SG: No. 122
Crystal system: tetragonal

Cell lengths 5.802, 5.802, 5.802 Å; angles 130.87, 130.87, 72.01 degrees
Sites, in units of the cell vectors:
Pd: 0.000 0.000 0.000
Pd: 0.750 0.250 0.500
W: 0.250 0.750 0.500
W: 0.500 0.500 0.000
N: 0.187 0.625 0.062
N: 0.375 0.437 0.562
N: 0.563 0.125 0.938
N: 0.875 0.813 0.438



*R*
Material: PdWN2
Method: DFT, GGA-PBE
State: optimized geometry

Values from the calculation:
N(E_F), states/eV per cell: 2.7
SG: No. 225
Crystal system: cubic

Cell lengths 3.868, 3.868, 3.868 Å; angles 60.00, 60.00, 60.00 degrees
Sites, in units of the cell vectors:
Pd: 0.000 0.000 0.000
W: 0.500 0.500 0.500
N: 0.250 0.250 0.250
N: 0.750 0.750 0.750



Most stable = *P*



*P*
Material: YPdN2
Method: DFT, GGA-PBE
State: optimized geometry

Values from the calculation:
N(E_F), states/eV per cell: 3.4
SG: No. 122
Crystal system: tetragonal

Cell lengths 6.477, 6.477, 6.477 Å; angles 137.34, 137.34, 61.92 degrees
Sites, in units of the cell vectors:
Y: 0.000 0.000 0.000
Y: 0.750 0.250 0.500
Pd: 0.250 0.750 0.500
Pd: 0.500 0.500 0.000
N: 0.165 0.625 0.040
N: 0.375 0.415 0.540
N: 0.585 0.125 0.960
N: 0.875 0.835 0.460



*Q*
Material: YPdN2
Method: DFT, GGA-PBE
State: optimized geometry

Values from the calculation:
N(E_F), states/eV per cell: 4.1
SG: No. 225
Crystal system: cubic

Cell lengths 4.104, 4.104, 4.104 Å; angles 60.00, 60.00, 60.00 degrees
Sites, in units of the cell vectors:
Y: 0.000 0.000 0.000
Pd: 0.500 0.500 0.500
N: 0.250 0.250 0.250
N: 0.750 0.750 0.750



Most stable = *P*



*P*
Material: YPdN2
Method: DFT, GGA-PBE
State: optimized geometry

Values from the calculation:
N(E_F), states/eV per cell: 4.0
SG: No. 166
Crystal system: trigonal

Cell lengths 6.303, 6.303, 6.303 Å; angles 33.37, 33.37, 33.37 degrees
Sites, in units of the cell vectors:
Y: 0.000 0.000 0.000
Pd: 0.500 0.500 0.500
N: 0.394 0.394 0.394
N: 0.606 0.606 0.606



*Q*
Material: YPdN2
Method: DFT, GGA-PBE
State: optimized geometry

Values from the calculation:
N(E_F), states/eV per cell: 2.7
SG: No. 166
Crystal system: trigonal

Cell lengths 6.484, 6.484, 6.484 Å; angles 30.22, 30.22, 30.22 degrees
Sites, in units of the cell vectors:
Y: 0.000 0.000 0.000
Pd: 0.500 0.500 0.500
N: 0.120 0.120 0.120
N: 0.880 0.880 0.880



Most stable = *P*



*P*
Material: ZnPd3N
Method: DFT, GGA-PBE
State: optimized geometry

Values from the calculation:
N(E_F), states/eV per cell: 2.5
SG: No. 221
Crystal system: cubic

Cell lengths 4.136, 4.136, 4.136 Å; angles 90.00, 90.00, 90.00 degrees
Sites, in units of the cell vectors:
Zn: 0.000 0.000 0.000
Pd: 0.000 0.500 0.500
Pd: 0.500 0.000 0.500
Pd: 0.500 0.500 0.000
N: 0.500 0.500 0.500



*Q*
Material: ZnPd3N
Method: DFT, GGA-PBE
State: optimized geometry

Values from the calculation:
N(E_F), states/eV per cell: 1.3
SG: No. 221
Crystal system: cubic

Cell lengths 4.704, 4.704, 4.704 Å; angles 90.00, 90.00, 90.00 degrees
Sites, in units of the cell vectors:
Zn: 0.000 0.000 0.000
Pd: 0.000 0.000 0.500
Pd: 0.000 0.500 0.000
Pd: 0.500 0.000 0.000
N: 0.500 0.500 0.500



Most stable = *P*



*P*
Material: Zr4Pd2N
Method: DFT, GGA-PBE
State: optimized geometry

Values from the calculation:
N(E_F), states/eV per cell: 4.4
SG: No. 139
Crystal system: tetragonal

Cell lengths 7.484, 7.484, 7.484 Å; angles 145.65, 145.65, 49.36 degrees
Sites, in units of the cell vectors:
Zr: 0.000 0.500 0.500
Zr: 0.178 0.178 0.000
Zr: 0.500 0.000 0.500
Zr: 0.822 0.822 0.000
Pd: 0.366 0.366 0.000
Pd: 0.634 0.634 0.000
N: 0.000 0.000 0.000



*Q*
Material: Zr4Pd2N
Method: DFT, GGA-PBE
State: optimized geometry

Values from the calculation:
N(E_F), states/eV per cell: 22.2
SG: No. 227
Crystal system: cubic

Cell lengths 8.879, 8.879, 8.879 Å; angles 60.00, 60.00, 60.00 degrees
Sites, in units of the cell vectors:
Zr: 0.000 0.000 0.000
Zr: 0.000 0.000 0.500
Zr: 0.000 0.500 0.000
Zr: 0.194 0.194 0.556
Zr: 0.194 0.556 0.194
Zr: 0.194 0.556 0.556
Zr: 0.444 0.444 0.806
Zr: 0.444 0.806 0.444
Zr: 0.444 0.806 0.806
Zr: 0.500 0.000 0.000
Zr: 0.556 0.194 0.194
Zr: 0.556 0.194 0.556
Zr: 0.556 0.556 0.194
Zr: 0.806 0.444 0.444
Zr: 0.806 0.444 0.806
Zr: 0.806 0.806 0.444
Pd: 0.143 0.786 0.786
Pd: 0.214 0.214 0.214
Pd: 0.214 0.214 0.857
Pd: 0.214 0.857 0.214
Pd: 0.786 0.143 0.786
Pd: 0.786 0.786 0.143
Pd: 0.786 0.786 0.786
Pd: 0.857 0.214 0.214
N: 0.000 0.500 0.500
N: 0.500 0.000 0.500
N: 0.500 0.500 0.000
N: 0.500 0.500 0.500



*R*
Material: Zr4Pd2N
Method: DFT, GGA-PBE
State: optimized geometry

Values from the calculation:
N(E_F), states/eV per cell: 12.9
SG: No. 55
Crystal system: orthorhombic

Cell lengths 7.328, 10.668, 3.328 Å; angles 90.00, 90.00, 90.00 degrees
Sites, in units of the cell vectors:
Zr: 0.139 0.191 0.000
Zr: 0.185 0.940 0.500
Zr: 0.315 0.440 0.500
Zr: 0.361 0.691 0.000
Zr: 0.639 0.309 0.000
Zr: 0.685 0.560 0.500
Zr: 0.815 0.060 0.500
Zr: 0.861 0.809 0.000
Pd: 0.052 0.636 0.500
Pd: 0.448 0.136 0.500
Pd: 0.552 0.864 0.500
Pd: 0.948 0.364 0.500
N: 0.000 0.000 0.000
N: 0.500 0.500 0.000



Most stable = *Q*